[1]
MgBe2H (PBE, optimized geometry); polymorph energy (0 for the lowest one) = 0.677 eV per atom; density = 1.57 g/cm3; final energy = -2.04 eV/atom
1.0
0.000 2.840 2.840
2.840 0.000 2.840
2.840 2.840 0.000
Mg Be H
1 2 1
Direct
0.000 0.000 0.000
0.250 0.250 0.250
0.750 0.750 0.750
0.500 0.500 0.500

[2]
MgBeH2N (PBE, optimized geometry); density = 1.41 g/cm3; final energy = -3.71 eV/atom
1.0
2.939 0.000 0.000
0.000 2.939 0.000
0.000 0.000 6.711
Mg Be H N
1 1 2 1
Direct
0.000 0.000 0.000
0.000 0.000 0.500
0.000 0.500 0.500
0.500 0.000 0.500
0.500 0.500 0.000